1.
Er6Si2Sn | PBE | relaxed Values from VASP.

The structure in Quantum ESPRESSO input format:
```
&SYSTEM
  ibrav = 0, nat = 18, ntyp = 3
/
ATOMIC_SPECIES
Er 167.26 Er.upf
Si 28.09 Si.upf
Sn 118.71 Sn.upf
ATOMIC_POSITIONS crystal
Er 0.035 0.241 0.794
Er 0.186 0.278 0.464
Er 0.186 0.722 0.908
Er 0.321 0.025 0.704
Er 0.321 0.616 0.296
Er 0.447 0.241 0.206
Er 0.553 0.759 0.794
Er 0.679 0.384 0.704
Er 0.679 0.975 0.296
Er 0.814 0.278 0.092
Er 0.814 0.722 0.536
Er 0.965 0.759 0.206
Si 0.116 0.616 0.500
Si 0.370 0.000 0.370
Si 0.630 0.000 0.630
Si 0.884 0.384 0.500
Sn 0.000 0.000 0.000
Sn 0.500 0.500 0.000
CELL_PARAMETERS angstrom
-4.692 4.774 5.099
4.692 -4.774 5.099
4.692 4.774 -5.099
```

- raw formation energy (eV/atom) = -0.599
- DOS at the Fermi energy (states/eV per atom) = 0.65



2.
Er2SiSn | PBE | relaxed Values from VASP.

The structure in Quantum ESPRESSO input format:
```
&SYSTEM
  ibrav = 0, nat = 8, ntyp = 3
/
ATOMIC_SPECIES
Er 167.26 Er.upf
Si 28.09 Si.upf
Sn 118.71 Sn.upf
ATOMIC_POSITIONS crystal
Er 0.187 0.250 0.419
Er 0.273 0.750 0.059
Er 0.727 0.250 0.941
Er 0.813 0.750 0.581
Si 0.116 0.250 0.795
Si 0.884 0.750 0.205
Sn 0.383 0.750 0.708
Sn 0.617 0.250 0.292
CELL_PARAMETERS angstrom
5.921 0.000 0.000
0.000 4.015 0.000
-2.574 0.000 8.081
```

- raw formation energy (eV/atom) = -0.710
- DOS at the Fermi energy (states/eV per atom) = 0.61